Below is a relaxed structure of TbPm6Pb6, with properties calculated at the PBE level.

The structure belongs to space group P6/mmm (No. 191); the cell edges are 7.4234, 7.4234 and 9.3841 Å and the angles 90.00°, 90.00° and 120.00°. Symmetry generates all atoms from Tb at (0.0000, 0.0000, 0.0000), Pm at (0.0000, 0.5000, 0.2520), Pb at (0.0000, 0.0000, 0.3335), Pb at (0.3333, 0.6667, 0.0000) and Pb at (0.3333, 0.6667, 0.5000).

Its density of states at the Fermi level is 14.2 states/eV/cell. The energy relative to the elements is -0.279 eV per atom.

=====

Below is a relaxed structure of UZnGaAu, with properties calculated at the PBE level.

The structure belongs to space group F-43m (No. 216); the cell edges are 6.8221, 6.8221 and 6.8221 Å and the angles 90.00°, 90.00° and 90.00°. Symmetry generates all atoms from U at (0.0000, 0.0000, 0.0000), Zn at (0.0000, 0.0000, 0.5000), Ga at (0.2500, 0.2500, 0.2500) and Au at (0.2500, 0.2500, 0.7500).

Its density of states at the Fermi level is 30.5 states/eV/cell. The energy relative to the elements is -0.091 eV per atom.

=====

Below is a relaxed structure of PmTi2O5, with properties calculated at the PBE level.

The structure belongs to space group Pmmn (No. 59, origin choice 2); the cell edges are 3.6337, 11.9114 and 4.9898 Å and the angles 90.00°, 90.00° and 90.00°. Symmetry generates all atoms from Pm at (0.2500, 0.2500, 0.1182), Ti at (0.2500, 0.5936, 0.4223), O at (0.2500, 0.0809, 0.4256), O at (0.2500, 0.6330, 0.0786) and O at (0.2500, 0.7500, 0.5728).

Its density of states at the Fermi level is 4.6 states/eV/cell. The calculation puts the uncorrected formation energy at -3133 meV/atom.

=====

Below is a relaxed structure of TlInCl3, with properties calculated at the PBE level.

The structure belongs to space group Pm-3m (No. 221); the cell edges are 5.5153, 5.5153 and 5.5153 Å and the angles 90.00°, 90.00° and 90.00°. Symmetry generates all atoms from Tl at (0.0000, 0.0000, 0.0000), In at (0.5000, 0.5000, 0.5000) and Cl at (0.0000, 0.0000, 0.5000).

Its density of states at the Fermi level is 1.1 states/eV/cell. The calculation puts the uncorrected formation energy at -715 meV/atom.

=====

Below is a relaxed structure of LiAlSn2, with properties calculated at the PBE level.

The structure belongs to space group R3m (No. 160, hexagonal axes); the cell edges are 4.4554, 4.4554 and 16.8192 Å and the angles 90.00°, 90.00° and 120.00°. Symmetry generates all atoms from Li at (0.0000, 0.0000, 0.0000), Al at (0.0000, 0.0000, 0.8242), Sn at (0.0000, 0.0000, 0.2392) and Sn at (0.0000, 0.0000, 0.4181).

Its density of states at the Fermi level is 5.3 states/eV/cell. The energy relative to the elements is -0.026 eV per atom.

=====

Below is a relaxed structure of Ta2Ir3Os3, with properties calculated at the PBE level.

The structure belongs to space group Pmmm (No. 47); the cell edges are 3.9221, 3.9297 and 7.8461 Å and the angles 90.00°, 90.00° and 90.00°. Symmetry generates all atoms from Ta at (0.0000, 0.0000, 0.2491), Ir at (0.0000, 0.5000, 0.5000), Ir at (0.5000, 0.5000, 0.2505), Os at (0.0000, 0.5000, 0.0000), Os at (0.5000, 0.0000, 0.0000) and Os at (0.5000, 0.0000, 0.5000).

Its density of states at the Fermi level is 6.2 states/eV/cell. The energy relative to the elements is -0.423 eV per atom.

=====

Below is a relaxed structure of CaHoPdPt, with properties calculated at the PBE level.

The structure belongs to space group Amm2 (No. 38); the cell edges are 4.3592, 3.8349 and 10.8251 Å and the angles 90.00°, 90.00° and 90.00°. Symmetry generates all atoms from Ca at (0.0000, 0.0000, 0.0000), Ho at (0.5000, 0.0000, 0.7216), Pd at (0.5000, 0.0000, 0.4390) and Pt at (0.0000, 0.0000, 0.2718).

Its density of states at the Fermi level is 2.3 states/eV/cell. The energy relative to the elements is -0.969 eV per atom. The calculation puts the energy above the most stable polymorph in this dataset at 0.000 eV per atom.

=====

Below is a relaxed structure of Ca3Er2NpN6, with properties calculated at the PBE level.

The structure belongs to space group C2/m (No. 12); the cell edges are 5.9662, 10.3388 and 6.0279 Å and the angles 90.00°, 109.33° and 90.00°. Symmetry generates all atoms from Ca at (0.0000, 0.0000, 0.0000), Ca at (0.0000, 0.3336, 0.0000), Er at (0.0000, 0.1668, 0.5000), Np at (0.0000, 0.5000, 0.5000), N at (0.2280, 0.3449, 0.7192) and N at (0.2363, 0.5000, 0.2869).

Its density of states at the Fermi level is 0.3 states/eV/cell. The calculation puts the uncorrected formation energy at -1397 meV/atom.

=====

Below is a relaxed structure of NdEuAlSn, with properties calculated at the PBE level.

The structure belongs to space group F-43m (No. 216); the cell edges are 7.6463, 7.6463 and 7.6463 Å and the angles 90.00°, 90.00° and 90.00°. Symmetry generates all atoms from Nd at (0.0000, 0.0000, 0.0000), Eu at (0.0000, 0.0000, 0.5000), Al at (0.2500, 0.2500, 0.2500) and Sn at (0.2500, 0.2500, 0.7500).

Its density of states at the Fermi level is 22.9 states/eV/cell. The energy relative to the elements is -0.440 eV per atom.

=====

Below is a relaxed structure of CdGa2CoPt, with properties calculated at the PBE level.

The structure belongs to space group P4/mmm (No. 123); the cell edges are 4.7487, 4.7487 and 5.2599 Å and the angles 90.00°, 90.00° and 90.00°. Symmetry generates all atoms from Cd at (0.0000, 0.0000, 0.0000), Ga at (0.0000, 0.5000, 0.5000), Co at (0.5000, 0.5000, 0.0000) and Pt at (0.0000, 0.0000, 0.5000).

Its density of states at the Fermi level is 9.5 states/eV/cell. The energy relative to the elements is 0.444 eV per atom.

=====

Below is a relaxed structure of SmEr2Ag3Te6, with properties calculated at the PBE level.

The structure belongs to space group C2/m (No. 12); the cell edges are 7.6419, 13.2406 and 7.4464 Å and the angles 90.00°, 109.93° and 90.00°. Symmetry generates all atoms from Sm at (0.0000, 0.0000, 0.0000), Er at (0.0000, 0.3329, 0.0000), Ag at (0.0000, 0.1639, 0.5000), Ag at (0.0000, 0.5000, 0.5000), Te at (0.2440, 0.5000, 0.2552) and Te at (0.2454, 0.3298, 0.7463).

The calculation puts the uncorrected formation energy at -827 meV/atom.

=====

Below is a relaxed structure of Be3CdB, with properties calculated at the PBE level.

The structure belongs to space group Pm-3m (No. 221); the cell edges are 3.8352, 3.8352 and 3.8352 Å and the angles 90.00°, 90.00° and 90.00°. Symmetry generates all atoms from Be at (0.0000, 0.0000, 0.5000), Cd at (0.5000, 0.5000, 0.5000) and B at (0.0000, 0.0000, 0.0000).

Its density of states at the Fermi level is 1.2 states/eV/cell. The energy relative to the elements is 0.428 eV per atom. The calculation puts the energy above the most stable polymorph in this dataset at 0.000 eV per atom.

=====

Below is a relaxed structure of LiHo2TlHg4, with properties calculated at the PBE level.

The structure belongs to space group R-3m (No. 166, hexagonal axes); the cell edges are 5.1014, 5.1014 and 24.8721 Å and the angles 90.00°, 90.00° and 120.00°. Symmetry generates all atoms from Li at (0.0000, 0.0000, 0.0000), Ho at (0.0000, 0.0000, 0.2453), Tl at (0.0000, 0.0000, 0.5000), Hg at (0.0000, 0.0000, 0.1146) and Hg at (0.0000, 0.0000, 0.3664).

Its density of states at the Fermi level is 10.0 states/eV/cell. The energy relative to the elements is -0.370 eV per atom.

=====

Below is a relaxed structure of Zn2TeRh, with properties calculated at the PBE level.

The structure belongs to space group F-43m (No. 216); the cell edges are 6.5352, 6.5352 and 6.5352 Å and the angles 90.00°, 90.00° and 90.00°. Symmetry generates all atoms from Zn at (0.0000, 0.0000, 0.0000), Zn at (0.2500, 0.2500, 0.2500), Te at (0.0000, 0.0000, 0.5000) and Rh at (0.2500, 0.2500, 0.7500).

Its density of states at the Fermi level is 6.2 states/eV/cell. The calculation puts the uncorrected formation energy at 81 meV/atom.

=====

Below is a relaxed structure of RbNa2TlZn, with properties calculated at the PBE level.

The structure belongs to space group P4/mmm (No. 123); the cell edges are 6.0465, 6.0465 and 5.5280 Å and the angles 90.00°, 90.00° and 90.00°. Symmetry generates all atoms from Rb at (0.0000, 0.0000, 0.0000), Na at (0.0000, 0.5000, 0.5000), Tl at (0.5000, 0.5000, 0.5000) and Zn at (0.5000, 0.5000, 0.0000).

Its density of states at the Fermi level is 1.7 states/eV/cell. The energy relative to the elements is 0.062 eV per atom. The calculation puts the energy above the most stable polymorph in this dataset at 0.027 eV per atom.

=====

Below is a relaxed structure of TmPuPa2, with properties calculated at the PBE level.

The structure belongs to space group R-3m (No. 166, hexagonal axes); the cell edges are 3.5287, 3.5287 and 29.4301 Å and the angles 90.00°, 90.00° and 120.00°. Symmetry generates all atoms from Tm at (0.0000, 0.0000, 0.0000), Pu at (0.0000, 0.0000, 0.5000) and Pa at (0.0000, 0.0000, 0.1094).

Its density of states at the Fermi level is 31.6 states/eV/cell. The energy relative to the elements is 0.632 eV per atom. The calculation puts the energy above the most stable polymorph in this dataset at 0.461 eV per atom.

=====

Below is a relaxed structure of Li2CuPb, with properties calculated at the PBE level.

The structure belongs to space group I-42d (No. 122); the cell edges are 7.4570, 7.4570 and 5.5443 Å and the angles 90.00°, 90.00° and 90.00°. Symmetry generates all atoms from Li at (0.2083, 0.2500, 0.1250), Cu at (0.0000, 0.0000, 0.0000) and Pb at (0.0000, 0.0000, 0.5000).

Its density of states at the Fermi level is 7.6 states/eV/cell. The energy relative to the elements is 0.048 eV per atom.

=====

Below is a relaxed structure of Dy3InHg3, with properties calculated at the PBE level.

The structure belongs to space group C2/m (No. 12); the cell edges are 10.0749, 10.1654 and 7.3674 Å and the angles 90.00°, 90.01° and 90.00°. Symmetry generates all atoms from Dy at (0.0601, 0.0000, 0.2460), Dy at (0.2476, 0.2043, 0.7486), In at (0.1557, 0.5000, 0.9499), Hg at (0.0000, 0.2433, 0.0000), Hg at (0.0000, 0.2430, 0.5000) and Hg at (0.1697, 0.5000, 0.5459).

Its density of states at the Fermi level is 19.0 states/eV/cell. The energy relative to the elements is -0.345 eV per atom. The calculation puts the energy above the most stable polymorph in this dataset at 0.011 eV per atom.

=====

Below is a relaxed structure of TlHgPb2, with properties calculated at the PBE level.

The structure belongs to space group R3m (No. 160, hexagonal axes); the cell edges are 3.4302, 3.4302 and 35.3721 Å and the angles 90.00°, 90.00° and 120.00°. Symmetry generates all atoms from Tl at (0.0000, 0.0000, 0.0000), Hg at (0.0000, 0.0000, 0.2558), Pb at (0.0000, 0.0000, 0.5088) and Pb at (0.0000, 0.0000, 0.7523).

Its density of states at the Fermi level is 4.7 states/eV/cell. The energy relative to the elements is 0.004 eV per atom.

=====

Below is a relaxed structure of KCeHfZrO6, with properties calculated at the PBE level.

The structure belongs to space group F-43m (No. 216); the cell edges are 8.3036, 8.3036 and 8.3036 Å and the angles 90.00°, 90.00° and 90.00°. Symmetry generates all atoms from K at (0.0000, 0.0000, 0.0000), Ce at (0.0000, 0.0000, 0.5000), Hf at (0.2500, 0.2500, 0.7500), Zr at (0.2500, 0.2500, 0.2500) and O at (0.0018, 0.2500, 0.7500).

Its density of states at the Fermi level is 36.3 states/eV/cell. The calculation puts the uncorrected formation energy at -3031 meV/atom.

=====

Below is a relaxed structure of CePm4Er7, with properties calculated at the PBE level.

The structure belongs to space group P-1 (No. 2); the cell edges are 6.5467, 6.8108 and 9.0423 Å and the angles 84.59°, 76.77° and 81.45°. Symmetry generates all atoms from Ce at (0.0000, 0.0000, 0.0000), Pm at (0.1669, 0.6137, 0.3093), Pm at (0.3574, 0.1873, 0.7167), Er at (0.0000, 0.5000, 0.0000), Er at (0.1871, 0.1050, 0.3839), Er at (0.3209, 0.6961, 0.6417) and Er at (0.4886, 0.2483, 0.0493).

Its density of states at the Fermi level is 23.0 states/eV/cell. The energy relative to the elements is 0.103 eV per atom.

=====

Below is a relaxed structure of SrHfGeI2, with properties calculated at the PBE level.

The structure belongs to space group P4/mmm (No. 123); the cell edges are 5.6905, 5.6905 and 5.3136 Å and the angles 90.00°, 90.00° and 90.00°. Symmetry generates all atoms from Sr at (0.0000, 0.0000, 0.0000), Hf at (0.5000, 0.5000, 0.5000), Ge at (0.5000, 0.5000, 0.0000) and I at (0.0000, 0.5000, 0.5000).

Its density of states at the Fermi level is 3.6 states/eV/cell. The calculation puts the uncorrected formation energy at -300 meV/atom. The calculation puts the energy above the most stable polymorph in this dataset at 0.000 eV per atom.

=====

Below is a relaxed structure of VSnTe2N, with properties calculated at the PBE level.

The structure belongs to space group P4/mmm (No. 123); the cell edges are 5.8171, 5.8171 and 3.8886 Å and the angles 90.00°, 90.00° and 90.00°. Symmetry generates all atoms from V at (0.0000, 0.0000, 0.0000), Sn at (0.5000, 0.5000, 0.5000), Te at (0.0000, 0.5000, 0.5000) and N at (0.5000, 0.5000, 0.0000).

Its density of states at the Fermi level is 7.3 states/eV/cell. The calculation puts the uncorrected formation energy at 1007 meV/atom. The calculation puts the energy above the most stable polymorph in this dataset at 1.020 eV per atom.

=====

Below is a relaxed structure of PuNiCl, with properties calculated at the PBE level.

The structure belongs to space group R-3m (No. 166, hexagonal axes); the cell edges are 4.0072, 4.0072 and 31.1616 Å and the angles 90.00°, 90.00° and 120.00°. Symmetry generates all atoms from Pu at (0.0000, 0.0000, 0.0598), Ni at (0.0000, 0.0000, 0.3351) and Cl at (0.0000, 0.0000, 0.2194).

Its density of states at the Fermi level is 64.8 states/eV/cell. The calculation puts the uncorrected formation energy at -906 meV/atom.

=====

Below is a relaxed structure of Pr6HoS8, with properties calculated at the PBE level.

The structure belongs to space group Fm-3m (No. 225); the cell edges are 11.5574, 11.5574 and 11.5574 Å and the angles 90.00°, 90.00° and 90.00°. Symmetry generates all atoms from Pr at (0.0000, 0.2500, 0.2500), Ho at (0.0000, 0.0000, 0.0000), S at (0.0000, 0.0000, 0.2398) and S at (0.2500, 0.2500, 0.2500).

Its density of states at the Fermi level is 28.4 states/eV/cell. The calculation puts the uncorrected formation energy at -2044 meV/atom.